[1]
18
Lattice="6.700 0.000 0.000 0.000 6.363 0.000 -6.692 0.000 11.317" Properties=species:S:1:pos:R:3 comment="Ag2SnCl6 PBE-GGA relaxed" total_energy_ev_per_atom=-3.028 pbc="T T T"
Ag 0.003 0.014 2.085
Ag -3.343 3.168 7.744
Ag 3.352 3.196 3.573
Ag 0.006 6.349 9.232
Sn 3.350 0.000 0.000
Sn 0.004 3.182 5.659
Cl -1.080 4.579 3.893
Cl -4.426 4.966 9.552
Cl -5.322 1.462 11.315
Cl -1.976 1.719 5.657
Cl -1.091 4.585 7.414
Cl 2.255 4.960 1.755
Cl -2.247 1.403 9.563
Cl 1.099 1.778 3.904
Cl 1.985 4.644 5.661
Cl 5.331 4.901 0.002
Cl 4.435 1.398 1.766
Cl 1.089 1.784 7.425

---

[2]
10
Lattice="0.000 5.263 5.263 5.263 0.000 5.263 5.263 5.263 0.000" Properties=species:S:1:pos:R:3 comment="Tl2AgSnCl6 PBE-GGA relaxed" total_energy_ev_per_atom=-3.135 pbc="T T T"
Tl 2.632 2.632 2.632
Tl 7.895 7.895 7.895
Ag 0.000 0.000 0.000
Sn 5.263 5.263 5.263
Cl 5.263 5.263 2.636
Cl 5.263 2.636 5.263
Cl 7.890 5.263 5.263
Cl 2.636 5.263 5.263
Cl 5.263 7.890 5.263
Cl 5.263 5.263 7.890

---

[3]
16
Lattice="5.875 0.000 0.000 0.000 5.875 0.000 0.000 0.000 11.438" Properties=species:S:1:pos:R:3 comment="TaAgCl6 PBE-GGA relaxed" m_tot_mub_per_fu=0.004 total_energy_ev_per_atom=-4.243 pbc="T T T"
Ta 0.000 0.000 0.000
Ta 0.000 0.000 5.719
Ag 2.937 2.937 2.859
Ag 2.937 2.937 8.578
Cl 1.191 1.191 1.677
Cl 1.191 1.191 9.761
Cl 1.191 4.684 4.042
Cl 1.191 4.684 7.396
Cl 1.660 1.660 5.719
Cl 1.660 4.215 0.000
Cl 4.215 1.660 0.000
Cl 4.215 4.215 5.719
Cl 4.684 1.191 4.042
Cl 4.684 1.191 7.396
Cl 4.684 4.684 1.677
Cl 4.684 4.684 9.761

---

[4]
10
Lattice="0.000 5.082 5.082 5.082 0.000 5.082 5.082 5.082 0.000" Properties=species:S:1:pos:R:3 comment="Tl2TcAgCl6 PBE-GGA relaxed" m_tot_mub_per_fu=2.035 total_energy_ev_per_atom=-3.610 pbc="T T T"
Tl 2.541 2.541 2.541
Tl 7.624 7.624 7.624
Tc 0.000 0.000 0.000
Ag 5.082 5.082 5.082
Cl 5.082 5.082 2.406
Cl 5.082 2.406 5.082
Cl 7.759 5.082 5.082
Cl 2.406 5.082 5.082
Cl 5.082 7.759 5.082
Cl 5.082 5.082 7.759

---

[5]
14
Lattice="-4.350 4.350 4.350 4.350 -4.350 4.350 4.350 4.350 -4.350" Properties=species:S:1:pos:R:3 comment="Ag3Te2Cl2 PBE-GGA relaxed" total_energy_ev_per_atom=-2.723 pbc="T T T"
Ag 4.350 -2.175 3.559
Ag 3.559 4.350 -2.175
Ag 4.350 2.175 0.791
Ag 2.175 0.791 4.350
Ag 0.791 4.350 2.175
Ag -2.175 3.559 4.350
Te 5.088 -0.739 0.739
Te 0.739 5.088 -0.739
Te -0.739 0.739 5.088
Te 3.611 3.611 3.611
Cl 2.773 1.577 -1.577
Cl 1.577 -1.577 2.773
Cl 1.577 1.577 1.577
Cl -1.577 2.773 1.577

---

[6]
10
Lattice="2.003 -6.572 0.000 2.003 6.572 0.000 0.000 0.000 9.640" Properties=species:S:1:pos:R:3 comment="TlAgCl3 PBE-GGA relaxed" total_energy_ev_per_atom=-2.747 pbc="T T T"
Tl 2.003 3.314 7.230
Tl 2.003 -3.314 2.410
Ag 2.003 0.000 0.000
Ag 2.003 0.000 4.820
Cl 2.003 4.832 0.480
Cl 2.003 4.832 4.340
Cl 2.003 0.758 2.410
Cl 2.003 -0.758 7.230
Cl 2.003 -4.832 5.300
Cl 2.003 -4.832 9.160

---

[7]
8
Lattice="5.019 0.000 0.000 0.000 5.019 0.000 0.000 0.000 9.381" Properties=species:S:1:pos:R:3 comment="TlAgCl2 PBE-GGA relaxed" total_energy_ev_per_atom=-2.926 pbc="T T T"
Tl 1.255 1.255 1.818
Tl 3.765 3.765 7.562
Ag 1.255 1.255 5.652
Ag 3.765 3.765 3.729
Cl 1.255 1.255 8.205
Cl 1.255 3.765 4.690
Cl 3.765 1.255 4.690
Cl 3.765 3.765 1.176

---

[8]
10
Lattice="0.000 5.030 5.030 5.030 0.000 5.030 5.030 5.030 0.000" Properties=species:S:1:pos:R:3 comment="Tl2ZnAgCl6 PBE-GGA relaxed" total_energy_ev_per_atom=-2.793 pbc="T T T"
Tl 2.515 2.515 2.515
Tl 7.545 7.545 7.545
Zn 0.000 0.000 0.000
Ag 5.030 5.030 5.030
Cl 5.030 5.030 2.444
Cl 5.030 2.444 5.030
Cl 7.616 5.030 5.030
Cl 2.444 5.030 5.030
Cl 5.030 7.616 5.030
Cl 5.030 5.030 7.616